Record 1
Compound: TbTh3Tl3Te8
Source: Alexandria
Functional: GGA-PBE
Structure: optimized geometry

As for the total magnetic moment: 0.000 μB per formula unit. The final energy comes out at -4.900 eV per atom.

The structure belongs to space group R-3m (No. 166, hexagonal axes); the cell edges are 8.8039, 8.8039 and 25.5211 Å and the angles 90.00°, 90.00° and 120.00°. The asymmetric unit holds Tb at (0.0000, 0.0000, 0.0000), Th at (0.0000, 0.5000, 0.0000), Tl at (0.0000, 0.5000, 0.5000), Te at (0.0000, 0.0000, 0.2580) and Te at (0.0031, 0.5016, 0.7395).

Record 2
Compound: Tb3ThTl3Te8
Source: Alexandria
Functional: GGA-PBE
Structure: optimized geometry

As for the total magnetic moment: 0.000 μB per formula unit. The final energy comes out at -4.656 eV per atom.

The structure belongs to space group R-3m (No. 166, hexagonal axes); the cell edges are 8.9093, 8.9093 and 24.7108 Å and the angles 90.00°, 90.00° and 120.00°. The asymmetric unit holds Tb at (0.0000, 0.5000, 0.0000), Th at (0.0000, 0.0000, 0.0000), Tl at (0.0000, 0.5000, 0.5000), Te at (0.0000, 0.0000, 0.2620) and Te at (0.0044, 0.5022, 0.2615).

Record 3
Compound: Tb3Y2ThTe6
Source: Alexandria
Functional: GGA-PBE
Structure: optimized geometry

As for the total magnetic moment: 0.000 μB per formula unit. The final energy comes out at -5.678 eV per atom.

The structure belongs to space group C2/m (No. 12); the cell edges are 19.019, 4.352 and 8.846 Å and the angles 90.00°, 101.46° and 90.00°. The asymmetric unit holds Tb at (0.000, 0.000, 0.000), Tb at (0.159, 0.500, 0.338), Y at (0.163, 0.500, 0.832), Th at (0.000, 0.000, 0.500), Te at (0.002, 0.500, 0.760), Te at (0.169, 0.000, 0.087) and Te at (0.173, 0.000, 0.591).

Number 1: uncorrected formation energy -0.96 eV/atom. Number 2: uncorrected formation energy -1.09 eV/atom. Number 3: uncorrected formation energy -1.25 eV/atom.